CrCoN2F | GGA+U | relaxed

Summary:
- raw total energy (Ry per atom) = -0.433
- distance to the lowest polymorph of the same formula (eV per atom) = 0.000
- density of states at the Fermi level (states/eV per cell) = 1.920
- SG = No. 123
- calculated volume (A^3/atom) = 11.30
- total magnetic moment (μB per formula unit) = 4.02

The structure in POSCAR format:
```
CrCoN2F
1.0
3.8646 0.0000 0.0000
0.0000 3.8646 0.0000
0.0000 0.0000 3.7837
Cr Co N F
1 1 2 1
direct
0.0000 0.0000 0.0000
0.5000 0.5000 0.5000
0.0000 0.5000 0.0000
0.5000 0.0000 0.0000
0.0000 0.0000 0.5000
```